# 1
A plane-wave DFT calculation with PBE was carried out for crystalline Y3ZnS at its relaxed geometry.

As for the polymorph energy (0 for the lowest one): 252 meV/atom. Its crystal system is cubic. Its formation energy from raw total energies is -0.676 eV/atom. The value obtained for the volume is 27.47 A^3/atom.

The space group is Pm-3m (No. 221) and the conventional cell measures 5.1596, 5.1596 and 5.1596 Å, with angles of 90.00, 90.00 and 90.00 degrees. The distinct sites, in fractional coordinates, are Y at (0.0000, 0.0000, 0.5000), Zn at (0.5000, 0.5000, 0.5000) and S at (0.0000, 0.0000, 0.0000).

# 2
A plane-wave DFT calculation with PBE was carried out for crystalline MgCu2Au at its relaxed geometry.

As for the total DFT energy (no corrections): -3.247 eV/atom. Its crystal system is tetragonal. The value obtained for the volume is 16.53 A^3/atom.

The space group is I-42d (No. 122) and the conventional cell measures 3.7606, 3.7606 and 18.6992 Å, with angles of 90.00, 90.00 and 90.00 degrees. The distinct sites, in fractional coordinates, are Mg at (0.0000, 0.0000, 0.0000), Cu at (0.2358, 0.2500, 0.6250) and Au at (0.0000, 0.0000, 0.5000).

# 3
A plane-wave DFT calculation with PBE was carried out for crystalline Ba2AcZn9 at its relaxed geometry.

As for the total DFT energy (no corrections): -1.779 eV/atom. Its crystal system is trigonal. The value obtained for the volume is 22.63 A^3/atom.

The space group is R-3m (No. 166, hexagonal axes) and the conventional cell measures 5.8201, 5.8201 and 27.7683 Å, with angles of 90.00, 90.00 and 120.00 degrees. The distinct sites, in fractional coordinates, are Ba at (0.0000, 0.0000, 0.1434), Ac at (0.0000, 0.0000, 0.0000), Zn at (0.0000, 0.0000, 0.3349), Zn at (0.0000, 0.0000, 0.5000) and Zn at (0.0002, 0.5001, 0.0762).

# 4
A plane-wave DFT calculation with PBE was carried out for crystalline CdHgS2 at its relaxed geometry.

As for the polymorph energy (0 for the lowest one): 85 meV/atom. Its crystal system is orthorhombic. Its formation energy from raw total energies is -0.298 eV/atom. The value obtained for the volume is 25.47 A^3/atom.

The space group is Pnma (No. 62) and the conventional cell measures 6.9395, 3.9451 and 14.8827 Å, with angles of 90.00, 90.00 and 90.00 degrees. The distinct sites, in fractional coordinates, are Cd at (0.1726, 0.2500, 0.0804), Hg at (0.1925, 0.7500, 0.3306), S at (0.1834, 0.2500, 0.6707) and S at (0.1941, 0.7500, 0.9358).

# 5
A plane-wave DFT calculation with PBE was carried out for crystalline BaAuI at its relaxed geometry.

As for the polymorph energy (0 for the lowest one): 47 meV/atom. Its crystal system is monoclinic. Its formation energy from raw total energies is -1.155 eV/atom. The value obtained for the volume is 37.38 A^3/atom.

The space group is Cm (No. 8) and the conventional cell measures 6.8988, 18.8233 and 4.7768 Å, with angles of 90.00, 133.69 and 90.00 degrees. The distinct sites, in fractional coordinates, are Ba at (0.0000, 0.1189, 0.0000), Au at (0.0087, 0.5000, 0.5051), Au at (0.1896, 0.0000, 0.6876) and I at (0.0039, 0.3170, 0.0042).

# 6
A plane-wave DFT calculation with PBE was carried out for crystalline Pm3ThH at its relaxed geometry.

As for the total DFT energy (no corrections): -5.137 eV/atom. Its crystal system is cubic. The value obtained for the volume is 26.70 A^3/atom.

The space group is Pm-3m (No. 221) and the conventional cell measures 5.1107, 5.1107 and 5.1107 Å, with angles of 90.00, 90.00 and 90.00 degrees. The distinct sites, in fractional coordinates, are Pm at (0.0000, 0.0000, 0.5000), Th at (0.5000, 0.5000, 0.5000) and H at (0.0000, 0.0000, 0.0000).

# 7
A plane-wave DFT calculation with PBE was carried out for crystalline CaTaAg2 at its relaxed geometry.

As for the polymorph energy (0 for the lowest one): 425 meV/atom. Its crystal system is cubic. The value obtained for the volume is 20.23 A^3/atom.

The space group is F-43m (No. 216) and the conventional cell measures 6.8663, 6.8663 and 6.8663 Å, with angles of 90.00, 90.00 and 90.00 degrees. The distinct sites, in fractional coordinates, are Ca at (0.0000, 0.0000, 0.0000), Ta at (0.2500, 0.2500, 0.2500), Ag at (0.0000, 0.0000, 0.5000) and Ag at (0.2500, 0.2500, 0.7500).

# 8
A plane-wave DFT calculation with PBE was carried out for crystalline TlCd2RhPb at its relaxed geometry.

As for the total DFT energy (no corrections): -3.024 eV/atom. Its crystal system is tetragonal. The value obtained for the volume is 28.64 A^3/atom.

The space group is P4/mmm (No. 123) and the conventional cell measures 5.2760, 5.2760 and 5.1452 Å, with angles of 90.00, 90.00 and 90.00 degrees. The distinct sites, in fractional coordinates, are Tl at (0.0000, 0.0000, 0.0000), Cd at (0.0000, 0.5000, 0.5000), Rh at (0.5000, 0.5000, 0.5000) and Pb at (0.5000, 0.5000, 0.0000).

# 9
A plane-wave DFT calculation with PBE was carried out for crystalline ScUPa2As4 at its relaxed geometry.

As for the total DFT energy (no corrections): -7.938 eV/atom. Its crystal system is monoclinic. The value obtained for the volume is 23.38 A^3/atom.

The space group is P2/m (No. 10) and the conventional cell measures 6.9766, 4.0398 and 7.0314 Å, with angles of 90.00, 109.31 and 90.00 degrees. The distinct sites, in fractional coordinates, are Sc at (0.0000, 0.0000, 0.0000), U at (0.0000, 0.5000, 0.5000), Pa at (0.5000, 0.0000, 0.5000), Pa at (0.5000, 0.5000, 0.0000), As at (0.2397, 0.5000, 0.2405) and As at (0.2433, 0.0000, 0.7551).

# 10
A plane-wave DFT calculation with PBE was carried out for crystalline HgAsBr at its relaxed geometry.

As for the polymorph energy (0 for the lowest one): 602 meV/atom. Its crystal system is cubic. Its formation energy from raw total energies is 0.371 eV/atom. The value obtained for the volume is 28.14 A^3/atom.

The space group is F-43m (No. 216) and the conventional cell measures 6.9632, 6.9632 and 6.9632 Å, with angles of 90.00, 90.00 and 90.00 degrees. The distinct sites, in fractional coordinates, are Hg at (0.0000, 0.0000, 0.0000), As at (0.2500, 0.2500, 0.7500) and Br at (0.0000, 0.0000, 0.5000).

# 11
A plane-wave DFT calculation with PBE was carried out for crystalline Dy4CdSe3 at its relaxed geometry.

Its crystal system is orthorhombic. Its formation energy from raw total energies is -1.339 eV/atom. The value obtained for the volume is 25.12 A^3/atom.

The space group is Cmmm (No. 65) and the conventional cell measures 8.4767, 11.7447 and 4.0376 Å, with angles of 90.00, 90.00 and 90.00 degrees. The distinct sites, in fractional coordinates, are Dy at (0.0000, 0.2477, 0.0000), Dy at (0.2426, 0.0000, 0.5000), Cd at (0.0000, 0.5000, 0.0000), Se at (0.0000, 0.0000, 0.0000) and Se at (0.2500, 0.2500, 0.5000).

# 12
A plane-wave DFT calculation with PBE was carried out for crystalline Ba2Al7Pd at its relaxed geometry.

As for the total DFT energy (no corrections): -3.860 eV/atom. Its crystal system is tetragonal. The value obtained for the volume is 23.24 A^3/atom.

The space group is P-4m2 (No. 115) and the conventional cell measures 4.5422, 4.5422 and 11.2630 Å, with angles of 90.00, 90.00 and 90.00 degrees. The distinct sites, in fractional coordinates, are Ba at (0.0000, 0.5000, 0.2483), Al at (0.0000, 0.0000, 0.0000), Al at (0.0000, 0.0000, 0.5000), Al at (0.0000, 0.5000, 0.6352), Al at (0.0000, 0.5000, 0.8814), Al at (0.5000, 0.5000, 0.5000) and Pd at (0.5000, 0.5000, 0.0000).